# 1
The following is a PBE calculation of Li2GeSb after structural relaxation, from Alexandria via LeMat-Bulk.

Results
Fermi-level density of states: 0.292 states/eV per atom
SG: P4/mmm, No. 123

a b c (Å): 4.1475 4.2690 4.2690
angles (deg): 90.00 90.00 90.00
With the nearest neighbours (Å) after each atom.
Sites, in units of the cell vectors:
1 Sb 0.5000 0.0000 0.0000  8 Li 2.98, 4 Ge 3.02
2 Li 0.0000 0.0000 0.5000  4 Ge 2.98, 4 Sb 2.98, 4 Li 3.02
3 Li 0.0000 0.5000 0.0000  4 Ge 2.98, 4 Sb 2.98, 4 Li 3.02
4 Ge 0.5000 0.5000 0.5000  8 Li 2.98, 4 Sb 3.02



# 2
The following is a PBE calculation of Li2GeSb after structural relaxation, from Alexandria via LeMat-Bulk.

Results
Fermi-level density of states: 0.329 states/eV per atom
SG: P4/mmm, No. 123

a b c (Å): 3.3583 3.3583 6.6515
angles (deg): 90.00 90.00 90.00
With the nearest neighbours (Å) after each atom.
Sites, in units of the cell vectors:
1 Li 0.0000 0.0000 0.2775  4 Ge 2.80, 1 Li 2.96, 4 Sb 3.01
2 Li 0.0000 0.0000 0.7225  4 Ge 2.80, 1 Li 2.96, 4 Sb 3.01
3 Sb 0.5000 0.5000 0.0000  8 Li 3.01, 2 Ge 3.33, 4 Sb 3.36
4 Ge 0.5000 0.5000 0.5000  8 Li 2.80



# 3
The following is a PBE calculation of LiGe3Sb after structural relaxation, from Alexandria via LeMat-Bulk.

Results
Fermi-level density of states: 0.623 states/eV per atom
SG: Pm-3m, No. 221

a b c (Å): 4.7188 4.7188 4.7188
angles (deg): 90.00 90.00 90.00
With the nearest neighbours (Å) after each atom.
Sites, in units of the cell vectors:
1 Ge 0.0000 0.5000 0.0000  2 Li 2.36
2 Ge 0.0000 0.0000 0.5000  2 Li 2.36
3 Ge 0.5000 0.0000 0.0000  2 Li 2.36
4 Li 0.0000 0.0000 0.0000  6 Ge 2.36
5 Sb 0.5000 0.5000 0.5000  12 Ge 3.34



# 4
The following is a PBE calculation of Li2GeSb after structural relaxation, from Alexandria via LeMat-Bulk.

Results
Fermi-level density of states: 0.379 states/eV per atom
SG: R3m, No. 160

a b c (Å): 4.5408 4.5408 5.4774
angles (deg): 65.51 65.51 60.00
With the nearest neighbours (Å) after each atom.
Sites, in units of the cell vectors:
1 Sb 0.6783 0.6783 0.9652  6 Li 2.74-2.84, 1 Ge 2.78
2 Ge 0.4855 0.4855 0.5436  1 Sb 2.78, 6 Li 2.89-3.11
3 Li 0.2686 0.2686 0.1943  3 Sb 2.84, 1 Li 2.90, 4 Ge 3.11-3.13
4 Li 0.0677 0.0677 0.7968  3 Sb 2.74, 3 Ge 2.89, 1 Li 2.90



# 5
The following is a PBE calculation of LiGe2Sb2 after structural relaxation, from Alexandria via LeMat-Bulk.

Results
Fermi-level density of states: 0.425 states/eV per atom
SG: I4/mmm, No. 139

a b c (Å): 3.6900 3.6900 8.9364
angles (deg): 78.08 78.08 90.00
With the nearest neighbours (Å) after each atom.
Sites, in units of the cell vectors:
1 Ge 0.7500 0.2500 0.5000  4 Ge 2.61
2 Ge 0.2500 0.7500 0.5000  4 Ge 2.61
3 Sb 0.4052 0.4052 0.1896  4 Li 3.07, 4 Ge 3.23, 1 Sb 3.24
4 Sb 0.5948 0.5948 0.8104  4 Li 3.07, 4 Ge 3.23, 1 Sb 3.24
5 Li 0.0000 0.0000 0.0000  8 Sb 3.07



# 6
The following is a PBE calculation of LiGeSb3 after structural relaxation, from Alexandria via LeMat-Bulk.

Results
Fermi-level density of states: 0.651 states/eV per atom
SG: Pm-3m, No. 221

a b c (Å): 5.0061 5.0061 5.0061
angles (deg): 90.00 90.00 90.00
With the nearest neighbours (Å) after each atom.
Sites, in units of the cell vectors:
1 Ge 0.5000 0.5000 0.5000  12 Sb 3.54
2 Sb 0.5000 0.0000 0.0000  2 Li 2.50
3 Sb 0.0000 0.0000 0.5000  2 Li 2.50
4 Sb 0.0000 0.5000 0.0000  2 Li 2.50
5 Li 0.0000 0.0000 0.0000  6 Sb 2.50



no.,V (Å³/cell),raw total energy (eV per atom)
1,76,-3.48
2,75,-3.42
3,105,-3.56
4,86,-3.31
5,116,-3.79
6,125,-3.33